Computed, not measured: a relaxed structure of K2TiHO at the PBE level of DFT.

Structure (extended XYZ):
```
5
Lattice="4.8823 0.0000 0.0000 0.0000 4.8823 0.0000 0.0000 0.0000 4.1557" Properties=species:S:1:pos:R:3 pbc="T T T"
K 0.0000 2.4412 0.0000
K 2.4412 0.0000 0.0000
Ti 0.0000 0.0000 2.0779
H 0.0000 0.0000 0.0000
O 2.4412 2.4412 2.0779
```

Summary:
DFT total energy (eV/atom): -3.41
Space group: P4/mmm (123)